--- A ---
# NaLiPPd

An optimized crystal structure of NaLiPPd (GGA-PBE, Alexandria via LeMat-Bulk).

The structure in CIF format:
```
data_NaLiPPd
_cell_length_a 6.214
_cell_length_b 6.214
_cell_length_c 6.214
_cell_angle_alpha 90.00
_cell_angle_beta 90.00
_cell_angle_gamma 90.00
_space_group_name_H-M_alt 'F -4 3 m'
_space_group_IT_number 216
_space_group_name_Hall 'F -4 2 3'
loop_
_atom_site_label
_atom_site_type_symbol
_atom_site_fract_x
_atom_site_fract_y
_atom_site_fract_z
Na1 Na 0.000 0.000 0.000
Li1 Li 0.250 0.250 0.250
P1 P 0.000 0.000 0.500
Pd1 Pd 0.250 0.250 0.750
```

**Volume**: 15.00 Å³/atom

***

--- B ---
# NaLiPPd

An optimized crystal structure of NaLiPPd (GGA-PBE, Alexandria via LeMat-Bulk).

The structure in CIF format:
```
data_NaLiPPd
_cell_length_a 4.1312
_cell_length_b 4.1312
_cell_length_c 14.9731
_cell_angle_alpha 90.00
_cell_angle_beta 90.00
_cell_angle_gamma 120.00
_space_group_name_H-M_alt 'R 3 m'
_space_group_IT_number 160
_space_group_name_Hall 'R 3 -2"'
loop_
_atom_site_label
_atom_site_type_symbol
_atom_site_fract_x
_atom_site_fract_y
_atom_site_fract_z
Na1 Na 0.0000 0.0000 0.0000
Li1 Li 0.0000 0.0000 0.7987
P1 P 0.0000 0.0000 0.2011
Pd1 Pd 0.0000 0.0000 0.5365
```

**Volume**: 18.44 Å³/atom

***

Which structure is most stable, and how do the rest compare? From most to least stable: B, A.

***

--- A ---
# NaLi3Pb3

An optimized crystal structure of NaLi3Pb3 (GGA-PBE, Alexandria via LeMat-Bulk).

The structure in CIF format:
```
data_NaLi3Pb3
_cell_length_a 7.605
_cell_length_b 7.605
_cell_length_c 7.605
_cell_angle_alpha 90.00
_cell_angle_beta 90.00
_cell_angle_gamma 90.00
_space_group_name_H-M_alt 'P m -3 n'
_space_group_IT_number 223
_space_group_name_Hall '-P 4n 2 3'
loop_
_atom_site_label
_atom_site_type_symbol
_atom_site_fract_x
_atom_site_fract_y
_atom_site_fract_z
Na1 Na 0.000 0.000 0.000
Li1 Li 0.000 0.250 0.500
Pb1 Pb 0.000 0.500 0.250
```

**Volume**: 31.41 Å³/atom

***

--- B ---
# NaLi3Pb3

An optimized crystal structure of NaLi3Pb3 (GGA-PBE, Alexandria via LeMat-Bulk).

The structure in CIF format:
```
data_NaLi3Pb3
_cell_length_a 9.925
_cell_length_b 10.357
_cell_length_c 6.551
_cell_angle_alpha 90.00
_cell_angle_beta 90.00
_cell_angle_gamma 90.00
_space_group_name_H-M_alt 'C m m m'
_space_group_IT_number 65
_space_group_name_Hall '-C 2 2'
loop_
_atom_site_label
_atom_site_type_symbol
_atom_site_fract_x
_atom_site_fract_y
_atom_site_fract_z
Na1 Na 0.189 0.000 0.000
Li1 Li 0.000 0.500 0.244
Li2 Li 0.250 0.250 0.253
Pb1 Pb 0.000 0.187 0.500
Pb2 Pb 0.000 0.267 0.000
Pb3 Pb 0.235 0.500 0.500
```

**Volume**: 24.05 Å³/atom

***

Which structure is most stable, and how do the rest compare? From most to least stable: B, A.